one) Cu2MoCl: optimized geometry, GGA-PBE.

```
Cu2MoCl
1.0
2.734 0.000 0.000
0.000 4.355 0.000
-0.029 0.000 4.994
Cu Mo Cl
2 1 1
Cartesian
0.000 0.000 0.000 Cu
0.006 2.178 3.789 Cu
1.380 2.178 1.202 Mo
1.385 0.000 2.240 Cl
```

Properties
SG = No. 6
calculated density = 7.22 g/cm3

***

two) Cu2MoCl: optimized geometry, GGA-PBE.

```
Cu2MoCl
1.0
3.599 0.000 0.000
0.000 3.599 0.000
0.000 0.000 4.604
Cu Mo Cl
2 1 1
Cartesian
0.000 1.800 0.000 Cu
1.800 0.000 0.000 Cu
0.000 0.000 2.302 Mo
1.800 1.800 2.302 Cl
```

Properties
SG = No. 123
calculated density = 7.20 g/cm3

***

three) Cu2MoCl: optimized geometry, GGA-PBE.

```
Cu2MoCl
1.0
2.865 0.000 0.000
0.000 2.865 0.000
0.000 0.000 8.049
Cu Mo Cl
2 1 1
Cartesian
0.000 0.000 0.000 Cu
1.433 1.433 1.445 Cu
0.000 0.000 3.200 Mo
1.433 1.433 4.838 Cl
```

Properties
SG = No. 99
calculated density = 6.50 g/cm3

***

four) Cu2MoCl: optimized geometry, GGA-PBE.

```
Cu2MoCl
1.0
2.802 0.000 0.000
0.000 2.834 0.000
-0.018 0.000 7.729
Cu Mo Cl
2 1 1
Cartesian
0.002 0.000 1.869 Cu
2.781 0.000 5.861 Cu
1.401 1.417 0.000 Mo
-0.009 1.417 3.865 Cl
```

Properties
SG = No. 10
calculated density = 6.99 g/cm3

***

Need the numbers? Relative energies in meV per atom: one) 133; two) 499; three) 27; four) 0.

***

one) Cu2MoCl: optimized geometry, GGA-PBE.

```
Cu2MoCl
1.0
1.461 0.844 8.030
-1.461 0.844 8.030
0.000 -1.687 8.030
Cu Mo Cl
2 1 1
Cartesian
0.000 0.000 5.938 Cu
0.000 0.000 18.151 Cu
0.000 0.000 0.000 Mo
0.000 0.000 12.045 Cl
```

Properties
SG = No. 166
calculated density = 7.23 g/cm3

***

two) Cu2MoCl: optimized geometry, GGA-PBE.

```
Cu2MoCl
1.0
-3.589 3.589 2.481
3.589 -3.589 2.481
3.589 3.589 -2.481
Cu Mo Cl
4 2 2
Cartesian
5.383 1.676 -0.620 Cu
1.676 1.794 0.620 Cu
-1.794 1.913 1.861 Cu
1.913 1.794 3.101 Cu
3.589 0.000 1.240 Mo
0.000 0.000 2.481 Mo
0.000 0.000 0.000 Cl
0.000 3.589 1.240 Cl
```

Properties
SG = No. 122
calculated density = 6.72 g/cm3

***

three) Cu2MoCl: optimized geometry, GGA-PBE.

```
Cu2MoCl
1.0
-1.401 2.009 6.420
1.401 -2.009 6.420
1.401 2.009 -6.420
Cu Mo Cl
2 1 1
Cartesian
0.000 0.000 0.000 Cu
0.000 2.009 1.403 Cu
1.401 0.000 2.284 Mo
0.000 0.000 4.288 Cl
```

Properties
SG = No. 44
calculated density = 5.94 g/cm3

***

four) Cu2MoCl: optimized geometry, GGA-PBE.

```
Cu2MoCl
1.0
2.427 -4.452 0.000
2.427 4.452 0.000
0.000 0.000 2.723
Cu Mo Cl
2 1 1
Cartesian
1.213 2.226 0.000 Cu
1.213 -2.226 0.000 Cu
0.000 0.000 1.362 Mo
2.427 0.000 1.362 Cl
```

Properties
SG = No. 65
calculated density = 7.29 g/cm3

***

Need the numbers? Relative energies in meV per atom: one) 0; two) 428; three) 37; four) 198.

***

one) CuMoCl4: optimized geometry, GGA-PBE.

```
CuMoCl4
1.0
6.029 -5.145 0.000
6.029 5.145 0.000
-4.264 0.000 5.790
Cu Mo Cl
2 2 8
Cartesian
2.830 3.225 4.343 Cu
4.963 -3.225 1.448 Cu
4.963 3.705 1.448 Mo
2.830 -3.705 4.343 Mo
0.247 0.218 2.489 Cl
-1.885 -0.218 5.384 Cl
5.914 2.026 0.077 Cl
4.011 2.026 2.818 Cl
3.781 -2.026 2.973 Cl
1.879 -2.026 5.713 Cl
9.678 0.218 0.406 Cl
7.546 -0.218 3.301 Cl
```

Properties
SG = No. 15
calculated density = 2.79 g/cm3

***

two) CuMoCl4: optimized geometry, GGA-PBE.

```
CuMoCl4
1.0
0.000 4.106 4.106
4.106 0.000 4.106
4.106 4.106 0.000
Cu Mo Cl
1 1 4
Cartesian
0.000 0.000 0.000 Cu
6.160 6.160 6.160 Mo
3.077 3.077 3.077 Cl
5.136 5.136 3.077 Cl
5.136 3.077 5.136 Cl
3.077 5.136 5.136 Cl
```

Properties
SG = No. 216
calculated density = 3.61 g/cm3

***

Need the numbers? Relative energies in meV per atom: one) 0; two) 1607.